The following is a DFT calculation (PBE-GGA) of an optimized crystal structure of Cs2K2Hg. Values from VASP.

Calculated values
- Density: 1.9 g cm⁻³
- Symmetry: I4/mmm
- E_form: 0.145 eV/atom
- Excess energy over the best structure of this formula in the dataset: 23.5 kJ/mol of atoms

```
&SYSTEM
  ibrav = 0, nat = 5, ntyp = 3
/
ATOMIC_SPECIES
Cs 132.91 Cs.upf
K 39.10 K.upf
Hg 200.59 Hg.upf
CELL_PARAMETERS angstrom
-3.2558 3.2558 11.3897
3.2558 -3.2558 11.3897
3.2558 3.2558 -11.3897
ATOMIC_POSITIONS crystal
Cs 0.2500 0.7500 0.5000
Cs 0.7500 0.2500 0.5000
K 0.0882 0.0882 0.0000
K 0.9118 0.9118 0.0000
Hg 0.5000 0.5000 0.0000
```


The following is a DFT calculation (PBE-GGA) of an optimized crystal structure of K2AsPb. Values from VASP.

Calculated values
- Density: 4.8 g cm⁻³
- Symmetry: Cmmm
- E_form: -0.044 eV/atom
- Excess energy over the best structure of this formula in the dataset: 26.1 kJ/mol of atoms

```
&SYSTEM
  ibrav = 0, nat = 4, ntyp = 3
/
ATOMIC_SPECIES
K 39.10 K.upf
As 74.92 As.upf
Pb 207.20 Pb.upf
CELL_PARAMETERS angstrom
3.3529 -5.3994 0.0000
3.3529 5.3994 0.0000
0.0000 0.0000 3.4371
ATOMIC_POSITIONS crystal
K 0.0000 0.5000 0.0000
K 0.5000 0.0000 0.0000
As 0.0000 0.0000 0.5000
Pb 0.5000 0.5000 0.5000
```


The following is a DFT calculation (PBE-GGA) of an optimized crystal structure of Zn2Ga6Tc. Values from VASP.

Calculated values
- Density: 5.4 g cm⁻³
- Symmetry: P4_2/mnm
- E_form: 0.229 eV/atom

```
&SYSTEM
  ibrav = 0, nat = 18, ntyp = 3
/
ATOMIC_SPECIES
Zn 65.41 Zn.upf
Ga 69.72 Ga.upf
Tc 98.00 Tc.upf
CELL_PARAMETERS angstrom
5.2187 0.0000 0.0000
0.0000 5.2187 0.0000
0.0000 0.0000 14.5900
ATOMIC_POSITIONS crystal
Zn 0.0000 0.0000 0.2183
Zn 0.0000 0.0000 0.7817
Zn 0.5000 0.5000 0.2817
Zn 0.5000 0.5000 0.7183
Ga 0.1689 0.1689 0.0000
Ga 0.2074 0.2074 0.3703
Ga 0.2074 0.2074 0.6297
Ga 0.2926 0.7074 0.1297
Ga 0.2926 0.7074 0.8703
Ga 0.3311 0.6689 0.5000
Ga 0.6689 0.3311 0.5000
Ga 0.7074 0.2926 0.1297
Ga 0.7074 0.2926 0.8703
Ga 0.7926 0.7926 0.3703
Ga 0.7926 0.7926 0.6297
Ga 0.8311 0.8311 0.0000
Tc 0.0000 0.0000 0.5000
Tc 0.5000 0.5000 0.0000
```


The following is a DFT calculation (PBE-GGA) of an optimized crystal structure of Mn2TcP. Values from VASP.

Calculated values
- Density: 8.3 g cm⁻³
- Symmetry: F-43m
- E_form: -0.249 eV/atom
- Excess energy over the best structure of this formula in the dataset: 0.7 kJ/mol of atoms

```
&SYSTEM
  ibrav = 0, nat = 4, ntyp = 3
/
ATOMIC_SPECIES
Mn 54.94 Mn.upf
Tc 98.00 Tc.upf
P 30.97 P.upf
CELL_PARAMETERS angstrom
0.0000 2.8784 2.8784
2.8784 0.0000 2.8784
2.8784 2.8784 0.0000
ATOMIC_POSITIONS crystal
Mn 0.0000 0.0000 0.0000
Mn 0.2500 0.2500 0.2500
Tc 0.5000 0.5000 0.5000
P 0.7500 0.7500 0.7500
```


Number 1: uncorrected energy -0.70 eV/atom, calculated volume 96.59 A^3/atom. Number 2: uncorrected energy -2.68 eV/atom, calculated volume 31.11 A^3/atom. Number 3: uncorrected energy -3.22 eV/atom, calculated volume 22.08 A^3/atom. Number 4: uncorrected energy -8.78 eV/atom, calculated volume 11.92 A^3/atom.